[1]
# Ru2WSe PBE optimized geometry
# Density of states at the Fermi level ... 5.62 states/eV per cell
# Formation energy without anion corrections ... 0.467 eV per atom
# Total moment ... 0.18 μB per atom
data_Ru2WSe
_chemical_formula_sum 'Ru2 W1 Se1'
_symmetry_space_group_name_H-M 'P 1'
_symmetry_Int_Tables_number 1
_cell_length_a 4.5876
_cell_length_b 4.5876
_cell_length_c 2.9252
_cell_angle_alpha 90.00
_cell_angle_beta 90.00
_cell_angle_gamma 90.00
loop_
_symmetry_equiv_pos_as_xyz
'x,y,z'
loop_
_atom_site_label
_atom_site_type_symbol
_atom_site_fract_x
_atom_site_fract_y
_atom_site_fract_z
Ru1 Ru 0.0000 0.5000 0.0000
Ru2 Ru 0.5000 0.0000 0.0000
W1 W 0.0000 0.0000 0.5000
Se1 Se 0.5000 0.5000 0.5000

[2]
# Ba2MnBr PBE optimized geometry
# Distance to the lowest polymorph of the same formula ... 2.31 eV/f.u.
# Density of states at the Fermi level ... 4.33 states/eV per cell
# Formation energy without anion corrections ... 0.167 eV per atom
# Total moment ... 0.66 μB per atom
data_Ba2MnBr
_chemical_formula_sum 'Ba2 Mn1 Br1'
_symmetry_space_group_name_H-M 'P 1'
_symmetry_Int_Tables_number 1
_cell_length_a 5.8652
_cell_length_b 5.8652
_cell_length_c 5.8652
_cell_angle_alpha 60.00
_cell_angle_beta 60.00
_cell_angle_gamma 60.00
loop_
_symmetry_equiv_pos_as_xyz
'x,y,z'
loop_
_atom_site_label
_atom_site_type_symbol
_atom_site_fract_x
_atom_site_fract_y
_atom_site_fract_z
Ba1 Ba 0.0000 0.0000 0.0000
Ba2 Ba 0.2500 0.2500 0.2500
Mn1 Mn 0.5000 0.5000 0.5000
Br1 Br 0.7500 0.7500 0.7500

[3]
# PdPbSe2O8 PBE optimized geometry
# Formation energy without anion corrections ... -0.602 eV per atom
# Total moment ... 0.17 μB per atom
data_PdPbSe2O8
_chemical_formula_sum 'Pd1 Pb1 Se2 O8'
_symmetry_space_group_name_H-M 'P 1'
_symmetry_Int_Tables_number 1
_cell_length_a 8.0714
_cell_length_b 8.0714
_cell_length_c 8.0714
_cell_angle_alpha 36.94
_cell_angle_beta 36.94
_cell_angle_gamma 36.94
loop_
_symmetry_equiv_pos_as_xyz
'x,y,z'
loop_
_atom_site_label
_atom_site_type_symbol
_atom_site_fract_x
_atom_site_fract_y
_atom_site_fract_z
Pd1 Pd 0.0000 0.0000 0.0000
Pb1 Pb 0.5000 0.5000 0.5000
Se1 Se 0.2524 0.2524 0.2524
Se2 Se 0.7476 0.7476 0.7476
O1 O 0.0485 0.4154 0.7156
O2 O 0.1777 0.1777 0.1777
O3 O 0.2844 0.9515 0.5846
O4 O 0.4154 0.7156 0.0485
O5 O 0.5846 0.2844 0.9515
O6 O 0.7156 0.0485 0.4154
O7 O 0.8223 0.8223 0.8223
O8 O 0.9515 0.5846 0.2844

[4]
# La2NdZn PBE optimized geometry
# Distance to the lowest polymorph of the same formula ... 0.48 eV/f.u.
# Density of states at the Fermi level ... 5.00 states/eV per cell
# Total moment ... 0.00 μB per atom
data_La2NdZn
_chemical_formula_sum 'La2 Nd1 Zn1'
_symmetry_space_group_name_H-M 'P 1'
_symmetry_Int_Tables_number 1
_cell_length_a 10.9923
_cell_length_b 10.9923
_cell_length_c 10.9923
_cell_angle_alpha 19.61
_cell_angle_beta 19.61
_cell_angle_gamma 19.61
loop_
_symmetry_equiv_pos_as_xyz
'x,y,z'
loop_
_atom_site_label
_atom_site_type_symbol
_atom_site_fract_x
_atom_site_fract_y
_atom_site_fract_z
La1 La 0.0000 0.0000 0.0000
La2 La 0.1896 0.1896 0.1896
Nd1 Nd 0.4275 0.4275 0.4275
Zn1 Zn 0.5949 0.5949 0.5949

[5]
# Li2PdPt2 PBE optimized geometry
# Distance to the lowest polymorph of the same formula ... 1.94 eV/f.u.
# Density of states at the Fermi level ... 7.27 states/eV per cell
# Total moment ... 0.00 μB per atom
data_Li2PdPt2
_chemical_formula_sum 'Li4 Pd2 Pt4'
_symmetry_space_group_name_H-M 'P 1'
_symmetry_Int_Tables_number 1
_cell_length_a 5.9871
_cell_length_b 5.9871
_cell_length_c 5.9871
_cell_angle_alpha 100.21
_cell_angle_beta 100.21
_cell_angle_gamma 130.20
loop_
_symmetry_equiv_pos_as_xyz
'x,y,z'
loop_
_atom_site_label
_atom_site_type_symbol
_atom_site_fract_x
_atom_site_fract_y
_atom_site_fract_z
Li1 Li 0.0994 0.5994 0.6989
Li2 Li 0.4006 0.0994 0.5000
Li3 Li 0.5994 0.9006 0.5000
Li4 Li 0.9006 0.4006 0.3011
Pd1 Pd 0.2500 0.2500 0.0000
Pd2 Pd 0.7500 0.7500 0.0000
Pt1 Pt 0.1982 0.3018 0.5000
Pt2 Pt 0.3018 0.8018 0.1037
Pt3 Pt 0.6982 0.1982 0.8963
Pt4 Pt 0.8018 0.6982 0.5000

[6]
# LiMoPt2 PBE optimized geometry
# Distance to the lowest polymorph of the same formula ... 0.61 eV/f.u.
# Density of states at the Fermi level ... 2.68 states/eV per cell
# Total moment ... 0.00 μB per atom
data_LiMoPt2
_chemical_formula_sum 'Li1 Mo1 Pt2'
_symmetry_space_group_name_H-M 'P 1'
_symmetry_Int_Tables_number 1
_cell_length_a 9.1583
_cell_length_b 9.1583
_cell_length_c 9.1583
_cell_angle_alpha 17.38
_cell_angle_beta 17.38
_cell_angle_gamma 17.38
loop_
_symmetry_equiv_pos_as_xyz
'x,y,z'
loop_
_atom_site_label
_atom_site_type_symbol
_atom_site_fract_x
_atom_site_fract_y
_atom_site_fract_z
Li1 Li 0.0000 0.0000 0.0000
Mo1 Mo 0.5000 0.5000 0.5000
Pt1 Pt 0.2519 0.2519 0.2519
Pt2 Pt 0.7481 0.7481 0.7481